(1)
Computed, not measured: a crystal of ScMnAl2 relaxed with PBEsol at the meta-GGA SCAN level of DFT.

Structure (CIF):
```
data_ScMnAl2
_cell_length_a 3.058
_cell_length_b 3.058
_cell_length_c 6.717
_cell_angle_alpha 90.00
_cell_angle_beta 90.00
_cell_angle_gamma 90.00
_symmetry_space_group_name_H-M 'P 1'
_symmetry_Int_Tables_number 1
loop_
_symmetry_equiv_pos_as_xyz
'x,y,z'
loop_
_atom_site_label
_atom_site_type_symbol
_atom_site_fract_x
_atom_site_fract_y
_atom_site_fract_z
Sc1 Sc 0.500 0.500 0.720
Mn1 Mn 0.000 0.000 0.465
Al1 Al 0.000 0.000 0.031
Al2 Al 0.500 0.500 0.285
```

ρ (g/cm³): 4.1
Total moment (μB/f.u.): 2.51
Volume (Å³/f.u.): 62.8
Electronic total energy (eV/atom): -12.233
Formation enthalpy at 0 K (eV/f.u.): -0.9


(2)
Computed, not measured: a crystal of ScMn2Al2 relaxed with PBEsol at the meta-GGA SCAN level of DFT.

Structure (CIF):
```
data_ScMn2Al2
_cell_length_a 3.949
_cell_length_b 3.949
_cell_length_c 5.710
_cell_angle_alpha 110.23
_cell_angle_beta 110.23
_cell_angle_gamma 90.00
_symmetry_space_group_name_H-M 'P 1'
_symmetry_Int_Tables_number 1
loop_
_symmetry_equiv_pos_as_xyz
'x,y,z'
loop_
_atom_site_label
_atom_site_type_symbol
_atom_site_fract_x
_atom_site_fract_y
_atom_site_fract_z
Sc1 Sc 0.000 0.000 0.000
Mn1 Mn 0.402 0.402 0.805
Mn2 Mn 0.598 0.598 0.195
Al1 Al 0.250 0.750 0.500
Al2 Al 0.750 0.250 0.500
```

ρ (g/cm³): 4.5
Total moment (μB/f.u.): 3.62
Volume (Å³/f.u.): 77.7
Electronic total energy (eV/atom): -13.358
Formation enthalpy at 0 K (eV/f.u.): -0.5


(3)
Computed, not measured: a crystal of ScMn2AlSe relaxed with PBEsol at the meta-GGA SCAN level of DFT.

Structure (CIF):
```
data_ScMn2AlSe
_cell_length_a 4.523
_cell_length_b 4.523
_cell_length_c 4.890
_cell_angle_alpha 90.00
_cell_angle_beta 90.00
_cell_angle_gamma 90.00
_symmetry_space_group_name_H-M 'P 1'
_symmetry_Int_Tables_number 1
loop_
_symmetry_equiv_pos_as_xyz
'x,y,z'
loop_
_atom_site_label
_atom_site_type_symbol
_atom_site_fract_x
_atom_site_fract_y
_atom_site_fract_z
Sc1 Sc 0.500 0.500 0.500
Mn1 Mn 0.000 0.500 0.000
Mn2 Mn 0.500 0.000 0.000
Al1 Al 0.000 0.000 0.000
Se1 Se 0.000 0.000 0.500
```

ρ (g/cm³): 4.3
Total moment (μB/f.u.): 6.53
Volume (Å³/f.u.): 100.1
Electronic total energy (eV/atom): -15.355
Formation energy (no corrections) (meV/atom): 360


(4)
Computed, not measured: a crystal of MnAlSe3 relaxed with PBEsol at the meta-GGA SCAN level of DFT.

Structure (CIF):
```
data_MnAlSe3
_cell_length_a 3.717
_cell_length_b 6.407
_cell_length_c 9.757
_cell_angle_alpha 104.59
_cell_angle_beta 90.00
_cell_angle_gamma 90.00
_symmetry_space_group_name_H-M 'P 1'
_symmetry_Int_Tables_number 1
loop_
_symmetry_equiv_pos_as_xyz
'x,y,z'
loop_
_atom_site_label
_atom_site_type_symbol
_atom_site_fract_x
_atom_site_fract_y
_atom_site_fract_z
Mn1 Mn 0.750 0.283 0.006
Mn2 Mn 0.250 0.717 0.994
Al1 Al 0.250 0.951 0.617
Al2 Al 0.750 0.049 0.383
Se1 Se 0.250 0.030 0.867
Se2 Se 0.250 0.478 0.156
Se3 Se 0.250 0.258 0.508
Se4 Se 0.750 0.970 0.133
Se5 Se 0.750 0.742 0.492
Se6 Se 0.750 0.522 0.844
```

ρ (g/cm³): 4.7
Total moment (μB/f.u.): 4.00
Volume (Å³/f.u.): 112.4
Electronic total energy (eV/atom): -18.097
Formation energy (no corrections) (meV/atom): -848